Entry 1:
Below is a relaxed Tb2CdGa3Pt4 crystal, with properties calculated at the PBE level.

a b c (Å): 4.066 4.066 11.704
angles (deg): 90.00 90.00 90.00
Atoms (fractional coordinates):
Pt (0.500, 0.500, 0.000)
Tb (0.000, 0.500, 0.754)
Tb (0.500, 0.000, 0.246)
Ga (0.000, 0.000, 0.500)
Pt (0.500, 0.000, 0.661)
Pt (0.000, 0.000, 0.000)
Cd (0.500, 0.500, 0.500)
Ga (0.500, 0.000, 0.871)
Ga (0.000, 0.500, 0.129)
Pt (0.000, 0.500, 0.339)

Properties
- total moment (Bohr magnetons per cell) = 0.0
- energy of formation from the pure elements (eV/atom) = -0.874
- space-group type = P-4m2, No. 115
- raw total energy (eV/atom) = -5.216

=====

Entry 2:
Below is a relaxed ThCdGa2Pt2 crystal, with properties calculated at the PBE level.

a b c (Å): 4.449 4.449 6.930
angles (deg): 90.00 90.00 120.00
Atoms (fractional coordinates):
Ga (0.333, 0.667, 0.292)
Pt (0.333, 0.667, 0.735)
Cd (0.000, 0.000, 0.500)
Pt (0.667, 0.333, 0.265)
Th (0.000, 0.000, 0.000)
Ga (0.667, 0.333, 0.708)

Properties
- total moment (Bohr magnetons per cell) = 0.0
- energy of formation from the pure elements (eV/atom) = -0.751
- space-group type = P-3m1, No. 164
- raw total energy (eV/atom) = -5.162

=====

Entry 3:
Below is a relaxed ThCdGaPt crystal, with properties calculated at the PBE level.

a b c (Å): 4.961 4.961 4.961
angles (deg): 60.00 60.00 60.00
Atoms (fractional coordinates):
Th (0.250, 0.250, 0.250)
Cd (0.750, 0.750, 0.750)
Pt (0.500, 0.500, 0.500)
Ga (0.000, 0.000, 0.000)

Properties
- total moment (Bohr magnetons per cell) = 0.0
- energy of formation from the pure elements (eV/atom) = -0.610
- space-group type = F-43m, No. 216
- raw total energy (eV/atom) = -4.961

=====

Entry 4:
Below is a relaxed ThCdGaPt3 crystal, with properties calculated at the PBE level.

a b c (Å): 5.778 7.102 7.124
angles (deg): 119.90 90.00 90.00
Atoms (fractional coordinates):
Pt (0.000, 0.302, 0.000)
Th (0.250, 0.688, 0.376)
Ga (0.750, 0.626, 0.252)
Th (0.750, 0.312, 0.624)
Cd (0.750, 0.059, 0.118)
Pt (0.250, 0.178, 0.356)
Pt (0.750, 0.822, 0.644)
Cd (0.250, 0.941, 0.882)
Ga (0.250, 0.374, 0.748)
Pt (0.000, 0.698, 0.000)
Pt (0.500, 0.698, 0.000)
Pt (0.500, 0.302, 0.000)

Properties
- total moment (Bohr magnetons per cell) = 0.0
- energy of formation from the pure elements (eV/atom) = -0.536
- space-group type = Cmcm, No. 63
- raw total energy (eV/atom) = -5.450

=====

Entry 5:
Below is a relaxed TlCd2GaPt crystal, with properties calculated at the PBE level.

a b c (Å): 5.303 5.303 4.781
angles (deg): 90.00 90.00 90.00
Atoms (fractional coordinates):
Tl (0.500, 0.500, 0.500)
Pt (0.000, 0.000, 0.000)
Cd (0.500, 0.000, 0.000)
Ga (0.000, 0.000, 0.500)
Cd (0.000, 0.500, 0.000)

Properties
- total moment (Bohr magnetons per cell) = 0.0
- energy of formation from the pure elements (eV/atom) = -0.174
- space-group type = P4/mmm, No. 123
- raw total energy (eV/atom) = -2.827

=====

Entry 6:
Below is a relaxed TmCdGaPt crystal, with properties calculated at the PBE level.

a b c (Å): 4.796 4.796 4.796
angles (deg): 60.00 60.00 60.00
Atoms (fractional coordinates):
Ga (0.250, 0.250, 0.250)
Cd (0.500, 0.500, 0.500)
Pt (0.750, 0.750, 0.750)
Tm (0.000, 0.000, 0.000)

Properties
- total moment (Bohr magnetons per cell) = 0.0
- energy of formation from the pure elements (eV/atom) = -0.630
- space-group type = F-43m, No. 216
- raw total energy (eV/atom) = -4.243

=====

Entry 7:
Below is a relaxed TmCdGa2Pt2 crystal, with properties calculated at the PBE level.

a b c (Å): 4.435 4.435 6.487
angles (deg): 90.00 90.00 120.00
Atoms (fractional coordinates):
Ga (0.667, 0.333, 0.232)
Pt (0.333, 0.667, 0.240)
Ga (0.333, 0.667, 0.768)
Cd (0.000, 0.000, 0.000)
Tm (0.000, 0.000, 0.500)
Pt (0.667, 0.333, 0.760)

Properties
- total moment (Bohr magnetons per cell) = 0.0
- energy of formation from the pure elements (eV/atom) = -0.760
- space-group type = P-3m1, No. 164
- raw total energy (eV/atom) = -4.681

=====

Entry 8:
Below is a relaxed Tm2CdGa2Pt5 crystal, with properties calculated at the PBE level.

a b c (Å): 3.847 9.672 9.672
angles (deg): 90.00 90.00 90.00
Atoms (fractional coordinates):
Pt (0.500, 0.068, 0.791)
Cd (0.000, 0.000, 0.000)
Pt (0.500, 0.709, 0.432)
Ga (0.000, 0.877, 0.377)
Ga (0.000, 0.123, 0.623)
Ga (0.000, 0.377, 0.123)
Tm (0.000, 0.825, 0.675)
Ga (0.000, 0.623, 0.877)
Pt (0.500, 0.000, 0.500)
Tm (0.000, 0.175, 0.325)
Pt (0.500, 0.932, 0.209)
Tm (0.000, 0.325, 0.825)
Pt (0.500, 0.500, 0.000)
Pt (0.500, 0.791, 0.932)
Pt (0.500, 0.568, 0.709)
Pt (0.500, 0.291, 0.568)
Tm (0.000, 0.675, 0.175)
Pt (0.500, 0.432, 0.291)
Cd (0.000, 0.500, 0.500)
Pt (0.500, 0.209, 0.068)

Properties
- total moment (Bohr magnetons per cell) = 0.0
- energy of formation from the pure elements (eV/atom) = -0.836
- space-group type = P4/mbm, No. 127
- raw total energy (eV/atom) = -5.448

=====

Entry 9:
Below is a relaxed UCdGa2Pt2 crystal, with properties calculated at the PBE level.

a b c (Å): 4.425 4.425 6.766
angles (deg): 90.00 90.00 120.00
Site moments in Bohr magnetons follow the coordinates.
Atoms (fractional coordinates):
Ga (0.667, 0.333, 0.230)  0.01
Ga (0.333, 0.667, 0.770)  0.01
U (0.000, 0.000, 0.500)  1.97
Cd (0.000, 0.000, 0.000)  0.01
Pt (0.333, 0.667, 0.263)  -0.03
Pt (0.667, 0.333, 0.737)  -0.03

Properties
- total moment (Bohr magnetons per cell) = 2.2
- energy of formation from the pure elements (eV/atom) = -0.497
- space-group type = P-3m1, No. 164
- raw total energy (eV/atom) = -5.553

=====

Entry 10:
Below is a relaxed Y2CdGa4Pt3 crystal, with properties calculated at the PBE level.

a b c (Å): 4.220 4.220 10.913
angles (deg): 90.00 90.00 90.00
Atoms (fractional coordinates):
Cd (0.500, 0.500, 0.500)
Pt (0.000, 0.000, 0.500)
Ga (0.500, 0.500, 0.000)
Ga (0.500, 0.000, 0.645)
Ga (0.000, 0.000, 0.000)
Pt (0.500, 0.000, 0.868)
Y (0.000, 0.500, 0.765)
Ga (0.000, 0.500, 0.355)
Pt (0.000, 0.500, 0.132)
Y (0.500, 0.000, 0.235)

Properties
- total moment (Bohr magnetons per cell) = 0.0
- energy of formation from the pure elements (eV/atom) = -0.811
- space-group type = P-4m2, No. 115
- raw total energy (eV/atom) = -5.219

=====

Entry 11:
Below is a relaxed Y2CdGa2Pt5 crystal, with properties calculated at the PBE level.

a b c (Å): 3.847 9.764 9.764
angles (deg): 90.00 90.00 90.00
Atoms (fractional coordinates):
Cd (0.000, 0.500, 0.500)
Cd (0.000, 0.000, 0.000)
Ga (0.000, 0.122, 0.622)
Pt (0.500, 0.500, 0.000)
Pt (0.500, 0.790, 0.933)
Y (0.000, 0.324, 0.824)
Pt (0.500, 0.000, 0.500)
Y (0.000, 0.824, 0.676)
Y (0.000, 0.176, 0.324)
Pt (0.500, 0.710, 0.433)
Pt (0.500, 0.433, 0.290)
Pt (0.500, 0.567, 0.710)
Pt (0.500, 0.067, 0.790)
Ga (0.000, 0.878, 0.378)
Pt (0.500, 0.210, 0.067)
Pt (0.500, 0.933, 0.210)
Ga (0.000, 0.378, 0.122)
Pt (0.500, 0.290, 0.567)
Y (0.000, 0.676, 0.176)
Ga (0.000, 0.622, 0.878)

Properties
- total moment (Bohr magnetons per cell) = 0.0
- energy of formation from the pure elements (eV/atom) = -0.826
- space-group type = P4/mbm, No. 127
- raw total energy (eV/atom) = -5.836

=====

Entry 12:
Below is a relaxed YCdGaPt crystal, with properties calculated at the PBE level.

a b c (Å): 4.838 4.838 4.838
angles (deg): 60.00 60.00 60.00
Atoms (fractional coordinates):
Y (0.750, 0.750, 0.750)
Ga (0.500, 0.500, 0.500)
Pt (0.000, 0.000, 0.000)
Cd (0.250, 0.250, 0.250)

Properties
- total moment (Bohr magnetons per cell) = 0.0
- energy of formation from the pure elements (eV/atom) = -0.628
- space-group type = F-43m, No. 216
- raw total energy (eV/atom) = -4.740

=====

Entry 13:
Below is a relaxed YCdGaPt2 crystal, with properties calculated at the PBE level.

a b c (Å): 5.056 4.675 5.056
angles (deg): 90.00 90.00 90.00
Atoms (fractional coordinates):
Pt (0.000, 0.000, 0.500)
Cd (0.000, 0.000, 0.000)
Pt (0.500, 0.000, 0.000)
Ga (0.000, 0.500, 0.000)
Y (0.500, 0.500, 0.500)

Properties
- total moment (Bohr magnetons per cell) = 0.0
- energy of formation from the pure elements (eV/atom) = 0.212
- space-group type = P4/mmm, No. 123
- raw total energy (eV/atom) = -4.285

=====

Entry 14:
Below is a relaxed Y2CdGa3Pt4 crystal, with properties calculated at the PBE level.

a b c (Å): 4.063 4.063 11.697
angles (deg): 90.00 90.00 90.00
Atoms (fractional coordinates):
Ga (0.500, 0.000, 0.871)
Pt (0.500, 0.000, 0.661)
Y (0.500, 0.000, 0.246)
Ga (0.000, 0.000, 0.500)
Pt (0.000, 0.500, 0.339)
Pt (0.500, 0.500, 0.000)
Cd (0.500, 0.500, 0.500)
Ga (0.000, 0.500, 0.129)
Pt (0.000, 0.000, 0.000)
Y (0.000, 0.500, 0.754)

Properties
- total moment (Bohr magnetons per cell) = 0.0
- energy of formation from the pure elements (eV/atom) = -0.873
- space-group type = P-4m2, No. 115
- raw total energy (eV/atom) = -5.582

=====

Entry 15:
Below is a relaxed ZnCdGaPt crystal, with properties calculated at the PBE level.

a b c (Å): 4.544 4.544 4.544
angles (deg): 60.00 60.00 60.00
Atoms (fractional coordinates):
Pt (0.250, 0.250, 0.250)
Zn (0.000, 0.000, 0.000)
Cd (0.750, 0.750, 0.750)
Ga (0.500, 0.500, 0.500)

Properties
- total moment (Bohr magnetons per cell) = 0.0
- energy of formation from the pure elements (eV/atom) = -0.164
- space-group type = F-43m, No. 216
- raw total energy (eV/atom) = -2.978

=====

Entry 16:
Below is a relaxed ZnCd2Ga2Pt5 crystal, with properties calculated at the PBE level.

a b c (Å): 3.774 9.417 9.417
angles (deg): 90.00 90.00 90.00
Atoms (fractional coordinates):
Pt (0.500, 0.500, 0.000)
Zn (0.000, 0.500, 0.500)
Pt (0.500, 0.804, 0.925)
Ga (0.000, 0.629, 0.871)
Cd (0.000, 0.172, 0.328)
Pt (0.500, 0.000, 0.500)
Cd (0.000, 0.328, 0.828)
Pt (0.500, 0.425, 0.304)
Cd (0.000, 0.672, 0.172)
Zn (0.000, 0.000, 0.000)
Ga (0.000, 0.129, 0.629)
Ga (0.000, 0.871, 0.371)
Ga (0.000, 0.371, 0.129)
Cd (0.000, 0.828, 0.672)
Pt (0.500, 0.304, 0.575)
Pt (0.500, 0.196, 0.075)
Pt (0.500, 0.925, 0.196)
Pt (0.500, 0.075, 0.804)
Pt (0.500, 0.575, 0.696)
Pt (0.500, 0.696, 0.425)

Properties
- total moment (Bohr magnetons per cell) = 0.0
- energy of formation from the pure elements (eV/atom) = -0.411
- space-group type = P4/mbm, No. 127
- raw total energy (eV/atom) = -4.347

=====

Entry 17:
Below is a relaxed Zn2Cd2GaPt5 crystal, with properties calculated at the PBE level.

a b c (Å): 3.749 9.409 9.409
angles (deg): 90.00 90.00 90.00
Atoms (fractional coordinates):
Cd (0.000, 0.830, 0.670)
Pt (0.500, 0.419, 0.308)
Pt (0.500, 0.081, 0.808)
Cd (0.000, 0.670, 0.170)
Zn (0.000, 0.372, 0.128)
Pt (0.500, 0.500, 0.000)
Pt (0.500, 0.000, 0.500)
Cd (0.000, 0.330, 0.830)
Ga (0.000, 0.500, 0.500)
Ga (0.000, 0.000, 0.000)
Zn (0.000, 0.872, 0.372)
Zn (0.000, 0.128, 0.628)
Pt (0.500, 0.919, 0.192)
Cd (0.000, 0.170, 0.330)
Pt (0.500, 0.808, 0.919)
Pt (0.500, 0.692, 0.419)
Pt (0.500, 0.192, 0.081)
Zn (0.000, 0.628, 0.872)
Pt (0.500, 0.581, 0.692)
Pt (0.500, 0.308, 0.581)

Properties
- total moment (Bohr magnetons per cell) = 0.0
- energy of formation from the pure elements (eV/atom) = -0.390
- space-group type = P4/mbm, No. 127
- raw total energy (eV/atom) = -4.151

=====

Entry 18:
Below is a relaxed PuCd2Ga crystal, with properties calculated at the PBE level.

a b c (Å): 5.079 5.079 5.079
angles (deg): 60.00 60.00 60.00
Site moments in Bohr magnetons follow the coordinates.
Atoms (fractional coordinates):
Cd (0.250, 0.250, 0.250)  0.02
Cd (0.750, 0.750, 0.750)  0.02
Pu (0.000, 0.000, 0.000)  5.43
Ga (0.500, 0.500, 0.500)  -0.04

Properties
- total moment (Bohr magnetons per cell) = 5.6
- energy of formation from the pure elements (eV/atom) = 0.006
- space-group type = Fm-3m, No. 225
- raw total energy (eV/atom) = -4.792

=====

Entry 19:
Below is a relaxed PuCdGa crystal, with properties calculated at the PBE level.

a b c (Å): 4.557 4.216 7.162
angles (deg): 107.20 90.00 90.00
Site moments in Bohr magnetons follow the coordinates.
Atoms (fractional coordinates):
Pu (0.750, 0.065, 0.130)  5.40
Cd (0.750, 0.750, 0.500)  0.00
Ga (0.250, 0.605, 0.209)  -0.04
Cd (0.250, 0.250, 0.500)  0.00
Ga (0.750, 0.395, 0.791)  -0.04
Pu (0.250, 0.935, 0.870)  5.40

Properties
- total moment (Bohr magnetons per cell) = 11.0
- energy of formation from the pure elements (eV/atom) = -0.160
- space-group type = P2_1/m, No. 11
- raw total energy (eV/atom) = -6.252

=====

Entry 20:
Below is a relaxed PuCdGa crystal, with properties calculated at the PBE level.

a b c (Å): 3.139 4.936 4.936
angles (deg): 120.00 90.00 90.00
Site moments in Bohr magnetons follow the coordinates.
Atoms (fractional coordinates):
Cd (0.167, 0.333, 0.667)  0.00
Ga (0.166, 0.000, 0.000)  -0.05
Pu (0.667, 0.667, 0.333)  5.49

Properties
- total moment (Bohr magnetons per cell) = 5.7
- energy of formation from the pure elements (eV/atom) = -0.207
- space-group type = P-6m2, No. 187
- raw total energy (eV/atom) = -6.298